# 1
DFT (PBE+U) results for an optimized crystal structure of KVF3.

Output
- Space-group type: R-3
- Total DFT energy (no corrections): -5.5449 eV/atom

Structure (extended XYZ):
```
10
Lattice="3.350 0.000 5.754 -1.675 2.901 5.754 -1.675 -2.901 5.754" Properties=species:S:1:pos:R:3 pbc="T T T"
F -0.288 1.832 10.342
K 0.000 0.000 14.866
V 0.000 0.000 5.834
F -1.442 -1.166 10.342
K 0.000 0.000 2.395
F 1.730 -0.666 10.342
V 0.000 0.000 11.427
F -1.730 0.666 6.919
F 1.442 1.166 6.919
F 0.288 -1.832 6.919
```

***

# 2
DFT (PBE+U) results for an optimized crystal structure of K2V3F8.

Output
- Space-group type: C2/m
- Total DFT energy (no corrections): -5.7578 eV/atom

Structure (extended XYZ):
```
13
Lattice="6.180 0.000 -2.448 -0.590 5.415 -1.491 -0.796 -0.349 7.016" Properties=species:S:1:pos:R:3 pbc="T T T"
F 1.817 -0.018 4.588
V 4.604 0.000 -1.823
F -0.259 3.045 4.446
K 1.083 1.626 2.735
V 1.576 0.000 -0.624
K 3.711 3.441 0.343
F 4.918 0.231 3.391
F 5.053 2.021 -1.368
F 1.561 2.021 0.015
F -0.124 4.836 -0.313
F 2.977 5.084 -1.510
V -0.295 2.708 -0.745
F 3.233 3.045 3.063
```

***

Question: Which of these has the lowest total DFT energy (no corrections)?
Answer: K2V3F8

***

Question: Look up the total DFT energy (no corrections) of the second one.
Answer: -5.7578 eV/atom

***

Copy entry 2 word for word.
DFT (PBE+U) results for an optimized crystal structure of K2V3F8.

Output
- Space-group type: C2/m
- Total DFT energy (no corrections): -5.7578 eV/atom

Structure (extended XYZ):
```
13
Lattice="6.180 0.000 -2.448 -0.590 5.415 -1.491 -0.796 -0.349 7.016" Properties=species:S:1:pos:R:3 pbc="T T T"
F 1.817 -0.018 4.588
V 4.604 0.000 -1.823
F -0.259 3.045 4.446
K 1.083 1.626 2.735
V 1.576 0.000 -0.624
K 3.711 3.441 0.343
F 4.918 0.231 3.391
F 5.053 2.021 -1.368
F 1.561 2.021 0.015
F -0.124 4.836 -0.313
F 2.977 5.084 -1.510
V -0.295 2.708 -0.745
F 3.233 3.045 3.063
```